Entry 1:
Here is an optimized crystal structure of Ba3TlPb from Alexandria via LeMat-Bulk. Energies are from PBEsol.

Energy of formation from the pure elements = 0.03 eV per atom

a = 6.4095 Å, b = 6.4095 Å, c = 6.4095 Å
α = 90.00°, β = 90.00°, γ = 90.00°
Closest atoms and distances in Å follow each position.
Space group Pm-3m (No. 221)
Asymmetric unit:
Ba 0.0000 0.0000 0.5000 x3  2 Tl 3.20
Tl 0.0000 0.0000 0.0000 x1  6 Ba 3.20
Pb 0.5000 0.5000 0.5000 x1  12 Ba 4.53



Entry 2:
Here is an optimized crystal structure of KCdGe2I from Alexandria via LeMat-Bulk. Energies are from PBEsol.

Calculated total energy = -0.09359 Ha/atom

a = 5.0082 Å, b = 5.0082 Å, c = 7.0503 Å
α = 90.00°, β = 90.00°, γ = 90.00°
Closest atoms and distances in Å follow each position.
Space group P4/mmm (No. 123)
Asymmetric unit:
K 0.0000 0.0000 0.0000 x1  2 Cd 3.53, 4 I 3.54
Cd 0.0000 0.0000 0.5000 x1  4 Ge 2.50
Ge 0.0000 0.5000 0.5000 x2  2 Cd 2.50
I 0.5000 0.5000 0.0000 x1  4 K 3.54



Entry 3:
Here is an optimized crystal structure of Ag2PdCS from Alexandria via LeMat-Bulk. Energies are from PBEsol.

Calculated total energy = -0.12958 Ha/atom

a = 5.0834 Å, b = 5.0834 Å, c = 4.2375 Å
α = 90.00°, β = 90.00°, γ = 90.00°
Closest atoms and distances in Å follow each position.
Space group P4/mmm (No. 123)
Asymmetric unit:
Ag 0.0000 0.5000 0.0000 x2  2 Pd 2.54
Pd 0.0000 0.0000 0.0000 x1  2 S 2.12
C 0.5000 0.5000 0.5000 x1  8 Ag 3.31, 4 S 3.59
S 0.0000 0.0000 0.5000 x1  2 Pd 2.12



Entry 4:
Here is an optimized crystal structure of TaSiTe2 from Alexandria via LeMat-Bulk. Energies are from PBEsol.

Calculated total energy = -0.22755 Ha/atom

a = 3.3850 Å, b = 3.3850 Å, c = 7.1740 Å
α = 90.00°, β = 90.00°, γ = 90.00°
Closest atoms and distances in Å follow each position.
Space group P4/mmm (No. 123)
Asymmetric unit:
Ta 0.0000 0.0000 0.0000 x1  8 Te 2.91
Si 0.0000 0.0000 0.5000 x1  8 Te 3.08, 4 Si 3.38
Te 0.5000 0.5000 0.2305 x2  4 Ta 2.91, 4 Si 3.08



Entry 5:
Here is an optimized crystal structure of Ti2CoCuGe from Alexandria via LeMat-Bulk. Energies are from PBEsol.

Energy of formation from the pure elements = 0.82 eV per atom

a = 4.5208 Å, b = 4.5208 Å, c = 4.2026 Å
α = 90.00°, β = 90.00°, γ = 90.00°
Closest atoms and distances in Å follow each position.
Space group P4/mmm (No. 123)
Asymmetric unit:
Ti 0.0000 0.5000 0.0000 x2  2 Cu 2.26
Co 0.0000 0.0000 0.5000 x1  8 Ti 3.09, 4 Ge 3.20
Cu 0.5000 0.5000 0.0000 x1  2 Ge 2.10, 4 Ti 2.26
Ge 0.5000 0.5000 0.5000 x1  2 Cu 2.10



Entry 6:
Here is an optimized crystal structure of Na2Ti3Cl8 from Alexandria via LeMat-Bulk. Energies are from PBEsol.

Calculated total energy = -0.18202 Ha/atom

a = 6.8145 Å, b = 6.8145 Å, c = 20.2625 Å
α = 90.00°, β = 90.00°, γ = 120.00°
Closest atoms and distances in Å follow each position.
Space group R3m (No. 160, hexagonal axes)
Asymmetric unit:
Na 0.0000 0.0000 0.0000 x3  6 Cl 2.72-2.79
Na 0.0000 0.0000 0.3328 x3  6 Cl 2.73-2.80
Ti 0.1957 0.3914 0.4919 x9  6 Cl 2.36-2.62
Cl 0.0000 0.0000 0.5530 x3  3 Ti 2.62
Cl 0.0000 0.0000 0.7406 x3  3 Ti 2.36
Cl 0.9999 0.5000 0.7595 x9  2 Ti 2.54, 2 Na 2.72-2.73
Cl 0.0020 0.5010 0.5684 x9  2 Ti 2.38



Entry 7:
Here is an optimized crystal structure of SrLaRe3 from Alexandria via LeMat-Bulk. Energies are from PBEsol.

Energy of formation from the pure elements = 2.44 eV per atom

a = 4.9178 Å, b = 4.9178 Å, c = 4.9178 Å
α = 90.00°, β = 90.00°, γ = 90.00°
Closest atoms and distances in Å follow each position.
Space group Pm-3m (No. 221)
Asymmetric unit:
Sr 0.0000 0.0000 0.0000 x1  12 Re 3.48
La 0.5000 0.5000 0.5000 x1  6 Re 2.46
Re 0.0000 0.5000 0.5000 x3  2 La 2.46



Entry 8:
Here is an optimized crystal structure of CaHf2InCo from Alexandria via LeMat-Bulk. Energies are from PBEsol.

Energy of formation from the pure elements = 1.14 eV per atom

a = 5.2723 Å, b = 5.2723 Å, c = 4.6785 Å
α = 90.00°, β = 90.00°, γ = 90.00°
Closest atoms and distances in Å follow each position.
Space group P4/mmm (No. 123)
Asymmetric unit:
Ca 0.0000 0.0000 0.0000 x1  8 Hf 3.52, 4 Co 3.73
Hf 0.0000 0.5000 0.5000 x2  2 In 2.64
In 0.5000 0.5000 0.5000 x1  2 Co 2.34
Co 0.5000 0.5000 0.0000 x1  2 In 2.34



Entry 9:
Here is an optimized crystal structure of IrSe2Br from Alexandria via LeMat-Bulk. Energies are from PBEsol.

E above lowest polymorph = 0 meV/atom

a = 6.5962 Å, b = 3.8075 Å, c = 7.7968 Å
α = 90.00°, β = 106.18°, γ = 90.00°
Closest atoms and distances in Å follow each position.
Space group C2/m (No. 12)
Asymmetric unit:
Ir 0.0000 0.0000 0.0000 x2  6 Se 2.49
Se 0.1156 0.5000 0.8450 x4  3 Ir 2.49, 1 Br 2.58
Br 0.0000 0.5000 0.5000 x2  2 Se 2.58



Entry 10:
Here is an optimized crystal structure of Ca2Cd2Ga from Alexandria via LeMat-Bulk. Energies are from PBEsol.

Energy of formation from the pure elements = -0.15 eV per atom

a = 3.8951 Å, b = 3.8951 Å, c = 18.1263 Å
α = 90.00°, β = 90.00°, γ = 90.00°
Closest atoms and distances in Å follow each position.
Space group I4/mmm (No. 139)
Asymmetric unit:
Ca 0.0000 0.0000 0.0947 x4  4 Ga 3.25, 4 Cd 3.42, 1 Ca 3.43
Cd 0.0000 0.5000 0.2500 x4  4 Cd 2.75
Ga 0.0000 0.0000 0.5000 x2  8 Ca 3.25



Entry 11:
Here is an optimized crystal structure of Hg3P from Alexandria via LeMat-Bulk. Energies are from PBEsol.

Energy of formation from the pure elements = 0.06 eV per atom
E above lowest polymorph = 0 meV/atom

a = 9.1074 Å, b = 12.8777 Å, c = 3.2451 Å
α = 90.00°, β = 90.00°, γ = 90.00°
Closest atoms and distances in Å follow each position.
Space group Cmcm (No. 63)
Asymmetric unit:
Hg 0.0000 0.0992 0.2500 x4  8 Hg 2.92-3.25
Hg 0.2454 0.3445 0.2500 x8  1 P 2.57
P 0.0000 0.4435 0.2500 x4  2 P 2.18



Entry 12:
Here is an optimized crystal structure of YHg3 from Alexandria via LeMat-Bulk. Energies are from PBEsol.

Energy of formation from the pure elements = -0.23 eV per atom

a = 3.6629 Å, b = 3.6629 Å, c = 8.5813 Å
α = 90.00°, β = 90.00°, γ = 120.00°
Closest atoms and distances in Å follow each position.
Space group P-6m2 (No. 187)
Asymmetric unit:
Y 0.0000 0.0000 0.0000 x1  6 Hg 3.06
Hg 0.0000 0.0000 0.5000 x1  6 Hg 2.97
Hg 0.3333 0.6667 0.2572 x2  3 Hg 2.97, 3 Y 3.06



Entry 13:
Here is an optimized crystal structure of Cs3CoCl from Alexandria via LeMat-Bulk. Energies are from PBEsol.

Calculated total energy = -0.09141 Ha/atom

a = 5.8260 Å, b = 5.8260 Å, c = 5.8260 Å
α = 90.00°, β = 90.00°, γ = 90.00°
Closest atoms and distances in Å follow each position.
Space group Pm-3m (No. 221)
Asymmetric unit:
Cs 0.0000 0.0000 0.5000 x3  2 Co 2.91
Co 0.0000 0.0000 0.0000 x1  6 Cs 2.91
Cl 0.5000 0.5000 0.5000 x1  12 Cs 4.12



Entry 14:
Here is an optimized crystal structure of CdIn2Cu from Alexandria via LeMat-Bulk. Energies are from PBEsol.

Energy of formation from the pure elements = 0.07 eV per atom

a = 3.0928 Å, b = 3.0928 Å, c = 8.4330 Å
α = 90.00°, β = 90.00°, γ = 90.00°
Closest atoms and distances in Å follow each position.
Space group P4mm (No. 99)
Asymmetric unit:
Cd 0.0000 0.0000 0.0000 x1  4 Cu 2.75
In 0.0000 0.0000 0.4013 x1  4 Cu 2.78, 4 In 3.09
In 0.5000 0.5000 0.7125 x1  8 In 3.09-3.42, 4 Cd 3.27
Cu 0.5000 0.5000 0.1973 x1  4 Cd 2.75, 4 In 2.78



Entry 15:
Here is an optimized crystal structure of SrMnOs2 from Alexandria via LeMat-Bulk. Energies are from PBEsol.

Energy of formation from the pure elements = 0.63 eV per atom

a = 2.8752 Å, b = 2.8752 Å, c = 8.6270 Å
α = 90.00°, β = 90.00°, γ = 90.00°
Closest atoms and distances in Å follow each position.
Space group P4mm (No. 99)
Asymmetric unit:
Sr 0.0000 0.0000 0.0000 x1  4 Sr 2.88, 4 Os 3.19
Mn 0.5000 0.5000 0.3238 x1  4 Os 2.68, 4 Mn 2.88
Os 0.0000 0.0000 0.5267 x1  8 Os 2.60-2.88, 4 Mn 2.68
Os 0.5000 0.5000 0.7149 x1  8 Os 2.60-2.88



Entry 16:
Here is an optimized crystal structure of CdTe2As from Alexandria via LeMat-Bulk. Energies are from PBEsol.

E above lowest polymorph = 0 meV/atom

a = 4.2594 Å, b = 4.2594 Å, c = 11.7809 Å
α = 90.00°, β = 90.00°, γ = 90.00°
Closest atoms and distances in Å follow each position.
Space group I4/mmm (No. 139)
Asymmetric unit:
Cd 0.0000 0.0000 0.0000 x2  4 As 3.01, 2 Te 3.06
Te 0.0000 0.0000 0.2597 x4  1 As 2.83, 4 Te 3.02, 1 Cd 3.06
As 0.0000 0.0000 0.5000 x2  2 Te 2.83, 4 Cd 3.01



Entry 17:
Here is an optimized crystal structure of Cd2NiP from Alexandria via LeMat-Bulk. Energies are from PBEsol.

Energy of formation from the pure elements = -0.05 eV per atom

a = 3.9343 Å, b = 3.5524 Å, c = 5.2076 Å
α = 90.00°, β = 112.09°, γ = 90.00°
Closest atoms and distances in Å follow each position.
Space group Pm (No. 6)
Asymmetric unit:
Cd 0.0000 0.0000 0.0000 x1  3 P 2.72-2.88, 4 Ni 2.79
Cd 0.3113 0.5000 0.6230 x1  3 Ni 2.69-2.90, 4 P 2.80
Ni 0.5901 0.5000 0.1809 x1  2 P 2.16
P 0.7180 0.0000 0.4366 x1  2 Ni 2.16



Entry 18:
Here is an optimized crystal structure of Mn2AsP from Alexandria via LeMat-Bulk. Energies are from PBEsol.

Energy of formation from the pure elements = -0.24 eV per atom

a = 7.8067 Å, b = 2.8802 Å, c = 4.5542 Å
α = 90.00°, β = 106.10°, γ = 90.00°
Closest atoms and distances in Å follow each position.
Space group Cm (No. 8)
Asymmetric unit:
Mn 0.0000 0.0000 0.0000 x2  3 P 2.18-2.25, 2 As 2.44
Mn 0.2287 0.0000 0.6109 x2  2 P 2.23, 3 As 2.33-2.40
As 0.4769 0.0000 0.4211 x2  5 Mn 2.33-2.44
P 0.2170 0.5000 0.9774 x2  5 Mn 2.18-2.25



Entry 19:
Here is an optimized crystal structure of Mn2TcRu from Alexandria via LeMat-Bulk. Energies are from PBEsol.

Energy of formation from the pure elements = 0.15 eV per atom

a = 2.8688 Å, b = 2.8688 Å, c = 5.9018 Å
α = 90.00°, β = 90.00°, γ = 90.00°
Closest atoms and distances in Å follow each position.
Space group P4mm (No. 99)
Asymmetric unit:
Mn 0.0000 0.0000 0.0000 x1  4 Mn 2.22
Mn 0.5000 0.5000 0.1538 x1  4 Mn 2.22
Tc 0.5000 0.5000 0.7168 x1  5 Mn 2.58-2.63, 4 Ru 2.61, 4 Tc 2.87
Ru 0.0000 0.0000 0.4383 x1  5 Mn 2.59-2.63, 4 Tc 2.61, 4 Ru 2.87



Entry 20:
Here is an optimized crystal structure of La2ScSe from Alexandria via LeMat-Bulk. Energies are from PBEsol.

Calculated total energy = -0.22116 Ha/atom

a = 3.9142 Å, b = 3.9142 Å, c = 26.8275 Å
α = 90.00°, β = 90.00°, γ = 120.00°
Closest atoms and distances in Å follow each position.
Space group R-3m (No. 166, hexagonal axes)
Asymmetric unit:
La 0.0000 0.0000 0.2394 x6  3 Se 2.99
Sc 0.0000 0.0000 0.0000 x3  6 La 3.39
Se 0.0000 0.0000 0.5000 x3  6 La 2.99